CeTmI6 | GGA-PBE | relaxed

abc: 8.068 8.068 7.786
angles: 91.29 91.29 120.42
Fractional coordinates of all 8 atoms:
1 I 0.001 0.298 0.272
2 Tm 0.000 0.000 0.500
3 I 0.701 0.701 0.251
4 I 0.299 0.299 0.749
5 I 0.702 0.999 0.728
6 Ce 0.000 0.000 0.000
7 I 0.298 0.001 0.272
8 I 0.999 0.702 0.728

Summary:
The calculation puts the relative energy among the computed polymorphs at 0 meV/atom. Its symmetry is C2/m, No. 12. The calculation puts the total magnetic moment at 1.000 μB per formula unit.